This record from Alexandria via LeMat-Bulk describes a relaxed structure of LaPtS3. The functional is GGA-PBE.

```
5
Lattice="5.478 0.000 0.000 0.000 5.478 0.000 0.000 0.000 5.478" Properties=species:S:1:pos:R:3 pbc="T T T"
La 0.000 0.000 0.000
S 2.739 0.000 0.000
S 0.000 2.739 0.000
S 0.000 0.000 2.739
Pt 2.739 2.739 2.739
```

Energy above the lowest structure with this stoichiometry: 1.410 eV per atom
Uncorrected formation energy: 514 meV/atom
Total moment: 3.00 μB/f.u.

---

This record from Alexandria via LeMat-Bulk describes a relaxed structure of LaPtS2. The functional is GGA-PBE.

```
4
Lattice="-1.195 0.723 7.008 1.811 -2.751 6.342 3.269 1.652 6.136" Properties=species:S:1:pos:R:3 pbc="T T T"
La 1.942 -0.188 9.743
S 3.453 -0.335 17.320
S 0.432 -0.042 2.166
Pt 0.000 0.000 0.000
```

Energy above the lowest structure with this stoichiometry: 0.045 eV per atom
Uncorrected formation energy: -999 meV/atom
Total moment: 0.00 μB/f.u.

---

This record from Alexandria via LeMat-Bulk describes a relaxed structure of LaPtS2. The functional is GGA-PBE.

```
4
Lattice="0.000 3.401 3.401 3.401 0.000 3.401 3.401 3.401 0.000" Properties=species:S:1:pos:R:3 pbc="T T T"
S 5.101 5.101 5.101
S 1.700 1.700 1.700
La 0.000 0.000 0.000
Pt 3.401 3.401 3.401
```

Energy above the lowest structure with this stoichiometry: 0.165 eV per atom
Uncorrected formation energy: -879 meV/atom
Total moment: 0.00 μB/f.u.

---

This record from Alexandria via LeMat-Bulk describes a relaxed structure of La4PtSe2S. The functional is GGA-PBE.

```
8
Lattice="-2.128 -3.470 1.056 6.216 -4.121 -1.015 3.822 -0.397 6.396" Properties=species:S:1:pos:R:3 pbc="T T T"
La 4.542 -4.897 1.434
La 7.466 -3.328 4.109
La 3.368 -3.091 5.003
La 0.444 -4.660 2.328
Se 0.847 -1.933 3.726
Se 3.822 -0.397 6.396
Pt 2.044 -3.795 0.020
S 5.019 -2.259 2.690
```

Uncorrected formation energy: -1809 meV/atom
Total moment: 0.00 μB/f.u.

---

This record from Alexandria via LeMat-Bulk describes a relaxed structure of La6PtSe2S3. The functional is GGA-PBE.

```
12
Lattice="4.178 0.000 0.000 0.000 8.532 0.325 -2.089 -2.441 8.978" Properties=species:S:1:pos:R:3 pbc="T T T"
S 0.000 6.293 3.263
S 2.089 4.266 0.162
S 2.089 -0.202 6.040
La 2.089 4.256 3.124
La 2.089 -0.177 3.085
La 0.000 1.835 6.178
La 0.000 6.268 6.217
La 2.089 -0.354 9.021
La 0.000 6.445 0.281
Pt 2.089 0.000 0.000
Se 2.089 4.041 6.182
Se 0.000 2.050 3.120
```

Uncorrected formation energy: -1923 meV/atom
Total moment: 0.00 μB/f.u.

---

This record from Alexandria via LeMat-Bulk describes a relaxed structure of La6PtSe3S2. The functional is GGA-PBE.

```
12
Lattice="4.196 0.000 0.000 0.000 8.610 0.265 -2.098 -2.526 9.056" Properties=species:S:1:pos:R:3 pbc="T T T"
La 2.098 4.084 3.230
La 0.000 6.128 6.251
La 0.000 2.000 6.091
La 2.098 -0.044 3.070
La 0.000 2.042 0.124
La 2.098 4.042 9.197
S 0.000 2.029 3.127
S 2.098 4.055 6.195
Se 0.000 6.318 3.224
Se 2.098 4.305 0.133
Se 2.098 -0.235 6.098
Pt 2.098 0.000 0.000
```

Uncorrected formation energy: -1905 meV/atom
Total moment: 0.00 μB/f.u.

---

This record from Alexandria via LeMat-Bulk describes a relaxed structure of SrLa2PtS. The functional is GGA-PBE.

```
5
Lattice="-4.730 -2.807 0.347 1.053 -2.457 -5.516 2.665 -4.197 2.378" Properties=species:S:1:pos:R:3 pbc="T T T"
Pt 0.000 0.000 0.000
La -2.365 -1.403 0.173
La 1.332 -2.098 1.189
S -0.506 -4.730 -1.396
Sr 0.527 -1.228 -2.758
```

Uncorrected formation energy: -596 meV/atom
Total moment: 0.00 μB/f.u.

---

This record from Alexandria via LeMat-Bulk describes a relaxed structure of La4Te2PtS. The functional is GGA-PBE.

```
8
Lattice="4.298 0.000 0.000 0.000 7.867 -0.199 0.000 2.728 7.159" Properties=species:S:1:pos:R:3 pbc="T T T"
La 4.298 2.871 1.595
La 0.000 7.723 5.365
La 2.149 6.421 1.765
La 2.149 4.173 5.195
Te 0.000 2.728 7.159
Te 2.149 1.364 3.579
S 0.000 5.297 3.480
Pt 2.149 6.661 7.059
```

Uncorrected formation energy: -1610 meV/atom
Total moment: 0.00 μB/f.u.

---

This record from Alexandria via LeMat-Bulk describes a relaxed structure of La2YPtS. The functional is GGA-PBE.

```
5
Lattice="5.521 0.000 0.000 0.000 4.682 0.000 0.000 0.000 5.521" Properties=species:S:1:pos:R:3 pbc="T T T"
S 0.000 0.000 0.000
La 0.000 0.000 2.761
La 2.761 0.000 0.000
Y 2.761 2.341 2.761
Pt 0.000 2.341 0.000
```

Uncorrected formation energy: -579 meV/atom
Total moment: 0.62 μB/f.u.

---

This record from Alexandria via LeMat-Bulk describes a relaxed structure of LaSbPt2. The functional is GGA-PBE.

```
4
Lattice="4.935 -0.006 0.011 3.183 3.771 0.011 1.667 0.773 5.095" Properties=species:S:1:pos:R:3 pbc="T T T"
La 7.382 3.424 3.993
Sb 4.936 2.289 2.001
Pt 2.427 1.126 1.064
Pt 8.051 3.734 0.639
```

Uncorrected formation energy: -807 meV/atom
Total moment: 0.00 μB/f.u.

---

This record from Alexandria via LeMat-Bulk describes a relaxed structure of LaSbPt. The functional is GGA-PBE.

```
3
Lattice="6.215 -0.003 0.003 5.160 3.465 0.016 1.055 0.311 3.454" Properties=species:S:1:pos:R:3 pbc="T T T"
Sb 8.236 2.503 1.064
La 11.183 3.403 0.083
Pt 4.386 1.328 2.345
```

Uncorrected formation energy: -747 meV/atom
Total moment: 0.00 μB/f.u.

---

This record from Alexandria via LeMat-Bulk describes a relaxed structure of La3Sb4Pt3. The functional is GGA-PBE.

```
20
Lattice="-0.629 1.679 -8.531 6.337 -5.830 1.354 -7.569 -3.211 2.895" Properties=species:S:1:pos:R:3 pbc="T T T"
Sb -2.541 -1.078 0.972
Sb 2.958 -2.351 -2.187
Sb -1.972 -2.723 -2.363
Sb -0.922 -5.730 1.422
Sb -0.620 -0.370 -4.969
Sb 1.197 -5.638 -1.686
Sb 2.643 -1.512 -6.452
Sb -6.326 -2.683 2.420
La 0.406 -2.779 0.165
La 4.442 -5.083 -0.586
La -5.121 -2.507 -0.858
La -3.697 -1.995 -5.316
La -2.263 -6.133 -1.782
La 0.651 -3.589 -4.466
Pt -2.266 -4.583 -4.446
Pt 3.260 -4.855 -3.423
Pt -6.303 -2.279 -3.695
Pt 1.836 -5.367 1.035
Pt -2.512 -3.773 0.185
Pt 0.402 -1.229 -2.498
```

Uncorrected formation energy: -1093 meV/atom
Total moment: 0.00 μB/f.u.